[1]
DFT (meta-GGA SCAN) results for a PBEsol-optimized structure of BeCdSe2.

Cell lengths 5.680, 5.680, 10.743 Å; angles 90.00, 90.00, 90.00 degrees
Space group I-42d (No. 122)
Inequivalent atoms, fractional coordinates:
Be 0.000 0.000 0.000
Cd 0.000 0.000 0.500
Se 0.191 0.250 0.125

Values from the calculation:
formation energy (no corrections) = -3.18 eV per formula unit



[2]
DFT (meta-GGA SCAN) results for a PBEsol-optimized structure of BeCdSe2.

Cell lengths 3.174, 3.174, 7.189 Å; angles 90.00, 90.00, 90.00 degrees
Space group P4/mmm (No. 123)
Inequivalent atoms, fractional coordinates:
Be 0.000 0.000 0.000
Cd 0.000 0.000 0.500
Se 0.500 0.500 0.191

Values from the calculation:
formation energy (no corrections) = 1.19 eV per formula unit